--- A ---
DFT (GGA-PBE) results for a geometry-optimized LaAsPdBr2 structure.

Cell: 5.773 5.773 6.043 Å, 90.00 90.00 90.00°
Fractional coordinates of all 5 atoms:
La (0.000, 0.000, 0.000)
As (0.000, 0.000, 0.500)
Pd (0.500, 0.500, 0.500)
Br (0.000, 0.500, 0.000)
Br (0.500, 0.000, 0.000)

***

--- B ---
DFT (GGA-PBE) results for a geometry-optimized LaAsPdBr2 structure.

Cell: 4.994 4.994 5.246 Å, 90.00 90.00 90.00°
Fractional coordinates of all 5 atoms:
La (0.000, 0.000, 0.000)
As (0.500, 0.500, 0.000)
Pd (0.500, 0.500, 0.500)
Br (0.000, 0.500, 0.500)
Br (0.500, 0.000, 0.500)

***

B ends up most stable, edging out the next structure by 423 meV/atom.

***

--- A ---
DFT (GGA-PBE) results for a geometry-optimized LaAsPtBr2 structure.

Cell: 5.648 5.648 6.204 Å, 90.00 90.00 90.00°
Fractional coordinates of all 5 atoms:
La (0.000, 0.000, 0.000)
As (0.000, 0.000, 0.500)
Pt (0.500, 0.500, 0.500)
Br (0.000, 0.500, 0.000)
Br (0.500, 0.000, 0.000)

***

--- B ---
DFT (GGA-PBE) results for a geometry-optimized LaAsPtBr2 structure.

Cell: 5.050 5.050 5.181 Å, 90.00 90.00 90.00°
Fractional coordinates of all 5 atoms:
La (0.000, 0.000, 0.000)
As (0.500, 0.500, 0.000)
Pt (0.500, 0.500, 0.500)
Br (0.000, 0.500, 0.500)
Br (0.500, 0.000, 0.500)

***

B ends up most stable, edging out the next structure by 635 meV/atom.

***

--- A ---
DFT (GGA-PBE) results for a geometry-optimized RbLaAs2Br structure.

Cell: 5.779 5.779 6.057 Å, 90.00 90.00 90.00°
Fractional coordinates of all 5 atoms:
Rb (0.000, 0.000, 0.000)
La (0.500, 0.500, 0.500)
As (0.000, 0.500, 0.500)
As (0.500, 0.000, 0.500)
Br (0.500, 0.500, 0.000)

***

--- B ---
DFT (GGA-PBE) results for a geometry-optimized RbLaAs2Br structure.

Cell: 5.451 5.451 5.732 Å, 90.00 90.00 90.00°
Fractional coordinates of all 5 atoms:
Rb (0.000, 0.000, 0.000)
La (0.500, 0.500, 0.500)
As (0.000, 0.500, 0.000)
As (0.500, 0.000, 0.000)
Br (0.000, 0.000, 0.500)

***

A ends up most stable, edging out the next structure by 880 meV/atom.

***

--- A ---
DFT (GGA-PBE) results for a geometry-optimized LaReAs2Br structure.

Cell: 4.811 4.811 5.300 Å, 90.00 90.00 90.00°
Fractional coordinates of all 5 atoms:
La (0.000, 0.000, 0.000)
Re (0.500, 0.500, 0.500)
As (0.000, 0.500, 0.500)
As (0.500, 0.000, 0.500)
Br (0.500, 0.500, 0.000)

***

--- B ---
DFT (GGA-PBE) results for a geometry-optimized LaReAs2Br structure.

Cell: 4.735 4.735 5.964 Å, 90.00 90.00 90.00°
Fractional coordinates of all 5 atoms:
La (0.000, 0.000, 0.000)
Re (0.000, 0.000, 0.500)
As (0.000, 0.500, 0.500)
As (0.500, 0.000, 0.500)
Br (0.500, 0.500, 0.000)

***

B ends up most stable, edging out the next structure by 277 meV/atom.

***

--- A ---
DFT (GGA-PBE) results for a geometry-optimized LaAsRuBr2 structure.

Cell: 4.921 4.921 5.504 Å, 90.00 90.00 90.00°
Fractional coordinates of all 5 atoms:
La (0.000, 0.000, 0.000)
As (0.500, 0.500, 0.000)
Ru (0.000, 0.000, 0.500)
Br (0.000, 0.500, 0.500)
Br (0.500, 0.000, 0.500)

***

--- B ---
DFT (GGA-PBE) results for a geometry-optimized LaAsRuBr2 structure.

Cell: 5.171 5.171 6.010 Å, 90.00 90.00 90.00°
Fractional coordinates of all 5 atoms:
La (0.000, 0.000, 0.000)
As (0.000, 0.000, 0.500)
Ru (0.500, 0.500, 0.000)
Br (0.000, 0.500, 0.500)
Br (0.500, 0.000, 0.500)

***

A ends up most stable, edging out the next structure by 664 meV/atom.

***

--- A ---
DFT (GGA-PBE) results for a geometry-optimized LaAsRuBr2 structure.

Cell: 5.699 5.699 5.934 Å, 90.00 90.00 90.00°
Fractional coordinates of all 5 atoms:
La (0.000, 0.000, 0.000)
As (0.000, 0.000, 0.500)
Ru (0.500, 0.500, 0.500)
Br (0.000, 0.500, 0.000)
Br (0.500, 0.000, 0.000)

***

--- B ---
DFT (GGA-PBE) results for a geometry-optimized LaAsRuBr2 structure.

Cell: 5.047 5.047 4.866 Å, 90.00 90.00 90.00°
Fractional coordinates of all 5 atoms:
La (0.000, 0.000, 0.000)
As (0.500, 0.500, 0.000)
Ru (0.500, 0.500, 0.500)
Br (0.000, 0.500, 0.500)
Br (0.500, 0.000, 0.500)

***

B ends up most stable, edging out the next structure by 764 meV/atom.